(1)
# TcPbAu

TcPbAu after structural relaxation (PBEsol, the Alexandria database).

Cell lengths 3.104, 3.104, 11.873 Å; angles 90.00, 90.00, 90.00 degrees
Space group I4mm (No. 107)
Inequivalent atoms, fractional coordinates:
Tc 0.000 0.000 0.000
Pb 0.000 0.000 0.333
Au 0.000 0.000 0.642

## Properties
**Total moment**: 1.93 μB/f.u.
**E**: -5.727 eV per atom
**Calculated density**: 14.58 g/cm3
**Energy relative to the elements**: 0.669 eV per atom
**Crystal system**: tetragonal

=====

(2)
# La2PdO2

La2PdO2 after structural relaxation (PBEsol, the Alexandria database).

Cell lengths 3.946, 3.946, 12.743 Å; angles 90.00, 90.00, 90.00 degrees
Space group I4/mmm (No. 139)
Inequivalent atoms, fractional coordinates:
La 0.000 0.000 0.152
Pd 0.000 0.000 0.500
O 0.000 0.500 0.250

## Properties
**Total moment**: 0.00 μB/f.u.
**E**: -7.886 eV per atom
**Energy relative to the elements, uncorrected**: -2.46 eV/atom
**Calculated density**: 6.97 g/cm3
**Crystal system**: tetragonal

=====

(3)
# LiMg2Te

LiMg2Te after structural relaxation (PBEsol, the Alexandria database).

Cell lengths 3.830, 3.830, 6.084 Å; angles 90.00, 90.00, 90.00 degrees
Space group P4mm (No. 99)
Inequivalent atoms, fractional coordinates:
Li 0.000 0.000 0.000
Mg 0.000 0.000 0.513
Mg 0.500 0.500 0.254
Te 0.500 0.500 0.767

## Properties
**Total moment**: 0.00 μB/f.u.
**E**: -2.599 eV per atom
**Energy relative to the elements, uncorrected**: -0.37 eV/atom
**Calculated density**: 3.41 g/cm3
**Crystal system**: tetragonal

=====

(4)
# CaSmAl4

CaSmAl4 after structural relaxation (PBEsol, the Alexandria database).

Cell lengths 7.912, 7.912, 7.912 Å; angles 90.00, 90.00, 90.00 degrees
Space group F-43m (No. 216)
Inequivalent atoms, fractional coordinates:
Ca 0.000 0.000 0.000
Sm 0.250 0.250 0.250
Al 0.125 0.125 0.625

## Properties
**Total moment**: 0.00 μB/f.u.
**E**: -4.350 eV per atom
**Calculated density**: 4.00 g/cm3
**Energy relative to the elements**: -0.418 eV per atom
**Crystal system**: cubic

=====

(5)
# Li5MnV3O8

Li5MnV3O8 after structural relaxation (PBEsol, the Alexandria database).

Cell lengths 8.398, 8.398, 8.398 Å; angles 90.00, 90.00, 90.00 degrees
Space group P4_332 (No. 212)
Inequivalent atoms, fractional coordinates:
Li 0.054 0.054 0.054
Li 0.117 0.867 0.875
Mn 0.125 0.875 0.375
V 0.118 0.132 0.625
O 0.109 0.130 0.385
O 0.122 0.378 0.622

## Properties
**Total moment**: 10.81 μB/f.u.
**E**: -7.296 eV per atom
**Energy relative to the elements, uncorrected**: -1.97 eV/atom
**Calculated density**: 4.15 g/cm3
**Crystal system**: cubic

=====

(6)
# TcPO2F

TcPO2F after structural relaxation (PBEsol, the Alexandria database).

Cell lengths 3.728, 3.728, 4.160 Å; angles 90.00, 90.00, 90.00 degrees
Space group P4/mmm (No. 123)
Inequivalent atoms, fractional coordinates:
Tc 0.000 0.000 0.000
P 0.500 0.500 0.500
O 0.000 0.500 0.500
F 0.500 0.500 0.000

## Properties
**Total moment**: 4.58 μB/f.u.
**E**: -6.067 eV per atom
**Energy relative to the elements, uncorrected**: -0.17 eV/atom
**Calculated density**: 5.17 g/cm3
**Crystal system**: tetragonal

=====

- What is the calculated density in the first record?
  14.58 g/cm3

=====

- Which formula does entry 1 have?
  TcPbAu